Below is a geometry-optimized CaSnIr4 structure, with properties calculated at the PBE level.

Fermi-level density of states = 1.558 states/eV/atom
Symmetry = F-43m
DFT formation energy = -121 meV per atom
Size of the total moment = 0.00 Bohr magnetons per cell

a = 5.3375 Å, b = 5.3375 Å, c = 5.3375 Å
α = 60.00°, β = 60.00°, γ = 60.00°
Closest atoms and distances in Å follow each position.
Atoms (fractional coordinates):
Ca  0.2500  0.2500  0.2500  12 Ir 3.13, 4 Sn 3.27
Ir  0.6251  0.6251  0.1247  6 Ir 2.67
Ir  0.6251  0.1247  0.6251  6 Ir 2.67
Ir  0.6251  0.6251  0.6251  6 Ir 2.67
Ir  0.1247  0.6251  0.6251  6 Ir 2.67
Sn  0.0000  0.0000  0.0000  12 Ir 3.13, 4 Ca 3.27